Entry 1:
This record from the Alexandria database describes a geometry-optimized PuCuRhO6 structure. The functional is PBE.

Values from the calculation:
Uncorrected formation energy: -1.43 eV per atom
Crystal system: trigonal
Density of states at the Fermi level: 9.646 states/eV per cell

Cell: 5.1554 5.1554 9.1891 Å, 90.00 90.00 120.00°
Space group P-31c (No. 163)
Symmetry-distinct sites (fractional):
Pu (0.3333, 0.6667, 0.2500)
Cu (0.0000, 0.0000, 0.0000)
Rh (0.3333, 0.6667, 0.7500)
O (0.0030, 0.3404, 0.6280)

=====

Entry 2:
This record from the Alexandria database describes a geometry-optimized LiTlGePb structure. The functional is PBE.

Values from the calculation:
Energy: -3.174 eV per atom
Crystal system: cubic
Density of states at the Fermi level: 1.900 states/eV per cell

Cell: 7.3351 7.3351 7.3351 Å, 90.00 90.00 90.00°
Space group F-43m (No. 216)
Symmetry-distinct sites (fractional):
Li (0.0000, 0.0000, 0.0000)
Tl (0.2500, 0.2500, 0.2500)
Ge (0.0000, 0.0000, 0.5000)
Pb (0.2500, 0.2500, 0.7500)

=====

Entry 3:
This record from the Alexandria database describes a geometry-optimized Cs2SbPtCl6 structure. The functional is PBE.

Values from the calculation:
Uncorrected formation energy: -1.09 eV per atom
Crystal system: tetragonal
Density of states at the Fermi level: 5.591 states/eV per cell

Cell: 7.4818 7.4818 10.5269 Å, 90.00 90.00 90.00°
Space group I4/mmm (No. 139)
Symmetry-distinct sites (fractional):
Cs (0.0000, 0.5000, 0.2500)
Sb (0.0000, 0.0000, 0.0000)
Pt (0.0000, 0.0000, 0.5000)
Cl (0.0000, 0.0000, 0.2582)
Cl (0.2427, 0.2427, 0.5000)

=====

Entry 4:
This record from the Alexandria database describes a geometry-optimized Th2AgSn2 structure. The functional is PBE.

Values from the calculation:
Excess energy over the best structure of this formula in the dataset: 9.9 kJ/mol of atoms
Crystal system: orthorhombic
Density of states at the Fermi level: 12.463 states/eV per cell

Cell: 4.8797 16.9053 6.9109 Å, 90.00 90.00 90.00°
Space group Cmc2_1 (No. 36)
Symmetry-distinct sites (fractional):
Th (0.0000, 0.0047, 0.0000)
Th (0.0000, 0.2026, 0.3143)
Ag (0.0000, 0.3958, 0.1613)
Sn (0.0000, 0.1743, 0.7891)
Sn (0.0000, 0.4222, 0.7468)

=====

Entry 5:
This record from the Alexandria database describes a geometry-optimized Fe2AgPb structure. The functional is PBE.

Values from the calculation:
Energy: -5.426 eV per atom
Crystal system: orthorhombic
Density of states at the Fermi level: 3.816 states/eV per cell

Cell: 3.2635 4.5537 9.1926 Å, 90.00 90.00 90.00°
Space group Imm2 (No. 44)
Symmetry-distinct sites (fractional):
Fe (0.0000, 0.0000, 0.0000)
Fe (0.0000, 0.5000, 0.3102)
Ag (0.0000, 0.0000, 0.5491)
Pb (0.0000, 0.5000, 0.7709)

=====

Entry 6:
This record from the Alexandria database describes a geometry-optimized CuNiSe2 structure. The functional is PBE.

Values from the calculation:
Uncorrected formation energy: -0.16 eV per atom
Crystal system: triclinic
Density of states at the Fermi level: 4.629 states/eV per cell

Cell: 3.9918 6.3219 6.5160 Å, 115.44 97.24 103.79°
Space group P1 (No. 1)
Symmetry-distinct sites (fractional):
Cu (0.0000, 0.0000, 0.0000)
Cu (0.4151, 0.4120, 0.0590)
Ni (0.4911, 0.7634, 0.6173)
Ni (0.7503, 0.0757, 0.4044)
Se (0.3372, 0.3159, 0.4031)
Se (0.4159, 0.7727, 0.9918)
Se (0.7793, 0.2084, 0.8040)
Se (0.9327, 0.7414, 0.4017)

=====

Please write out number 5 again, unchanged.
This record from the Alexandria database describes a geometry-optimized Fe2AgPb structure. The functional is PBE.

Values from the calculation:
Energy: -5.426 eV per atom
Crystal system: orthorhombic
Density of states at the Fermi level: 3.816 states/eV per cell

Cell: 3.2635 4.5537 9.1926 Å, 90.00 90.00 90.00°
Space group Imm2 (No. 44)
Symmetry-distinct sites (fractional):
Fe (0.0000, 0.0000, 0.0000)
Fe (0.0000, 0.5000, 0.3102)
Ag (0.0000, 0.0000, 0.5491)
Pb (0.0000, 0.5000, 0.7709)